(1)
{"formula": "Ga3SiHg", "functional": "SCAN", "state": "single point on PBEsol structure", "crystal_system": "cubic", "sg": "Pm-3m", "e_form_raw_ev_per_fu": 2.22, "cell": [[4.7881, 0.0000, 0.0000], [0.0000, 4.7881, 0.0000], [0.0000, 0.0000, 4.7881]], "species": ["Ga", "Ga", "Ga", "Si", "Hg"], "fractional_positions": [[0.0000, 0.0000, 0.5000], [0.0000, 0.5000, 0.0000], [0.5000, 0.0000, 0.0000], [0.0000, 0.0000, 0.0000], [0.5000, 0.5000, 0.5000]]}



(2)
{"formula": "Ga2Sn2Hg", "functional": "SCAN", "state": "single point on PBEsol structure", "crystal_system": "tetragonal", "e_form_ev_per_fu": 0.6, "sg": "I4/mmm", "cell": [[-2.3448, 2.3448, 5.7021], [2.3448, -2.3448, 5.7021], [2.3448, 2.3448, -5.7021]], "species": ["Ga", "Ga", "Sn", "Sn", "Hg"], "fractional_positions": [[0.2500, 0.7500, 0.5000], [0.7500, 0.2500, 0.5000], [0.1220, 0.1220, 0.0000], [0.8780, 0.8780, 0.0000], [0.5000, 0.5000, 0.0000]]}



(3)
{"formula": "GaSn2Hg", "functional": "SCAN", "state": "single point on PBEsol structure", "crystal_system": "cubic", "e_form_ev_per_fu": 0.9, "sg": "Fm-3m", "cell": [[0.0000, 3.6099, 3.6099], [3.6099, 0.0000, 3.6099], [3.6099, 3.6099, 0.0000]], "species": ["Ga", "Sn", "Sn", "Hg"], "fractional_positions": [[0.0000, 0.0000, 0.0000], [0.2500, 0.2500, 0.2500], [0.7500, 0.7500, 0.7500], [0.5000, 0.5000, 0.5000]]}